Here is a relaxed Pu2Cd16Bi crystal from Alexandria. Energies are from GGA-PBE.

E = -47.759 eV/f.u.
formation energy from the elements = -30 meV per atom
V = 24.0 Å³/atom

Unit cell a=7.736 b=7.736 c=7.736 alpha=83.78 beta=83.78 gamma=83.78
Each line ends with the local moment (μB).
Fractional coordinates of all 19 atoms:
Pu: 0.668 0.668 0.668  5.55
Pu: 0.334 0.334 0.334  5.57
Cd: 0.686 0.997 0.318  0.00
Cd: 0.997 0.318 0.686  0.00
Cd: 0.318 0.686 0.997  0.00
Cd: 0.997 0.686 0.318  0.00
Cd: 0.686 0.318 0.997  0.00
Cd: 0.318 0.997 0.686  0.00
Cd: 0.355 0.821 0.355  0.00
Cd: 0.821 0.355 0.355  0.00
Cd: 0.355 0.355 0.821  0.00
Cd: 0.648 0.167 0.648  0.00
Cd: 0.167 0.648 0.648  0.00
Cd: 0.648 0.648 0.167  0.00
Cd: 0.014 0.481 0.014  0.00
Cd: 0.481 0.014 0.014  0.00
Cd: 0.014 0.014 0.481  0.00
Cd: 0.103 0.103 0.103  -0.01
Bi: 0.893 0.893 0.893  -0.04

---

Here is a relaxed LiTb2Cd crystal from Alexandria. Energies are from GGA-PBE.

E = -12.552 eV/f.u.
formation energy from the elements = -116 meV per atom
relative energy among the computed polymorphs = 0.016 eV per formula unit
V = 26.0 Å³/atom

Unit cell a=5.277 b=5.277 c=5.277 alpha=60.00 beta=60.00 gamma=60.00
Fractional coordinates of all 4 atoms:
Li: 0.000 0.000 0.000
Tb: 0.250 0.250 0.250
Tb: 0.750 0.750 0.750
Cd: 0.500 0.500 0.500

---

Here is a relaxed CuMoPb2 crystal from Alexandria. Energies are from GGA-PBE.

E = -19.906 eV/f.u.
formation energy from the elements = 610 meV per atom
relative energy among the computed polymorphs = 0.697 eV per formula unit
V = 21.0 Å³/atom

Unit cell a=6.188 b=6.188 c=6.188 alpha=150.80 beta=132.90 gamma=56.38
Fractional coordinates of all 4 atoms:
Cu: 0.476 0.476 0.000
Mo: 0.281 0.781 0.500
Pb: 0.016 0.016 0.000
Pb: 0.727 0.227 0.500

---

Here is a relaxed Ca2PRu crystal from Alexandria. Energies are from GGA-PBE.

E = -20.412 eV/f.u.
formation energy from the elements = -431 meV per atom
V = 22.2 Å³/atom

Unit cell a=5.766 b=5.766 c=5.766 alpha=142.20 beta=129.97 gamma=64.37
Fractional coordinates of all 4 atoms:
Ca: 0.009 0.009 0.000
Ca: 0.713 0.213 0.500
P: 0.452 0.452 0.000
Ru: 0.326 0.826 0.500

---

Here is a relaxed Sb4MoAs crystal from Alexandria. Energies are from GGA-PBE.

raw formation energy = 1.00 eV per atom
E = -25.987 eV/f.u.
V = 26.8 Å³/atom

Unit cell a=6.101 b=6.101 c=6.101 alpha=60.00 beta=60.00 gamma=60.00
Each line ends with the local moment (μB).
Fractional coordinates of all 6 atoms:
Sb: 0.874 0.375 0.375  -0.01
Sb: 0.375 0.375 0.874  -0.01
Sb: 0.375 0.874 0.375  -0.01
Sb: 0.375 0.375 0.375  -0.01
Mo: 0.000 0.000 0.000  3.22
As: 0.750 0.750 0.750  -0.20

---

Here is a relaxed Hf2SnSb2 crystal from Alexandria. Energies are from GGA-PBE.

raw formation energy = -0.16 eV per atom
E = -32.970 eV/f.u.
relative energy among the computed polymorphs = 0.837 eV per formula unit
V = 26.6 Å³/atom

Unit cell a=5.533 b=7.681 c=12.534 alpha=90.00 beta=90.00 gamma=90.00
Fractional coordinates of all 20 atoms:
Hf: 0.750 0.438 0.751
Hf: 0.250 0.062 0.251
Hf: 0.250 0.562 0.249
Hf: 0.750 0.938 0.749
Hf: 0.750 0.926 0.091
Hf: 0.250 0.574 0.591
Hf: 0.250 0.074 0.909
Hf: 0.750 0.426 0.409
Sn: 0.750 0.173 0.578
Sn: 0.250 0.327 0.078
Sn: 0.250 0.827 0.422
Sn: 0.750 0.673 0.922
Sb: 0.750 0.694 0.571
Sb: 0.250 0.806 0.071
Sb: 0.250 0.306 0.429
Sb: 0.750 0.194 0.929
Sb: 0.750 0.061 0.306
Sb: 0.250 0.439 0.806
Sb: 0.250 0.939 0.694
Sb: 0.750 0.561 0.194

---

Here is a relaxed Rb2UHg3Br6 crystal from Alexandria. Energies are from GGA-PBE.

raw formation energy = -1.13 eV per atom
E = -37.706 eV/f.u.
V = 46.9 Å³/atom

Unit cell a=8.465 b=8.465 c=9.203 alpha=95.15 beta=95.15 gamma=119.73
Each line ends with the local moment (μB).
Fractional coordinates of all 12 atoms:
Rb: 0.334 0.666 0.000  0.00
Rb: 0.666 0.334 0.000  0.00
U: 0.000 0.000 0.000  2.10
Hg: 0.256 0.744 0.500  0.00
Hg: 0.744 0.256 0.500  0.00
Hg: 0.500 0.500 0.500  0.00
Br: 0.963 0.692 0.825  -0.02
Br: 0.765 0.765 0.178  -0.03
Br: 0.037 0.308 0.175  -0.02
Br: 0.692 0.963 0.825  -0.02
Br: 0.235 0.235 0.822  -0.03
Br: 0.308 0.037 0.175  -0.02

---

Here is a relaxed K2MgIn3Sn4 crystal from Alexandria. Energies are from GGA-PBE.

E = -29.692 eV/f.u.
formation energy from the elements = -168 meV per atom
V = 31.6 Å³/atom

Unit cell a=5.089 b=5.089 c=12.202 alpha=90.00 beta=90.00 gamma=90.00
Fractional coordinates of all 10 atoms:
K: 0.500 0.000 0.251
K: 0.000 0.500 0.749
Mg: 0.500 0.500 0.500
In: 0.000 0.000 0.500
In: 0.500 0.000 0.865
In: 0.000 0.500 0.135
Sn: 0.500 0.500 0.000
Sn: 0.000 0.000 0.000
Sn: 0.500 0.000 0.630
Sn: 0.000 0.500 0.370

---

Here is a relaxed In2BrCl2 crystal from Alexandria. Energies are from GGA-PBE.

raw formation energy = -0.72 eV per atom
E = -14.432 eV/f.u.
relative energy among the computed polymorphs = 0.396 eV per formula unit
V = 30.6 Å³/atom

Unit cell a=4.355 b=3.897 c=9.481 alpha=101.86 beta=103.25 gamma=90.00
Fractional coordinates of all 5 atoms:
In: 0.553 0.557 0.113
In: 0.304 0.306 0.612
Br: 0.750 0.752 0.504
Cl: 0.417 0.920 0.841
Cl: 0.094 0.097 0.194

---

Here is a relaxed Sr2ScHg crystal from Alexandria. Energies are from GGA-PBE.

E = -9.565 eV/f.u.
formation energy from the elements = 108 meV per atom
relative energy among the computed polymorphs = 0.948 eV per formula unit
V = 33.5 Å³/atom

Unit cell a=6.367 b=6.367 c=6.367 alpha=133.37 beta=133.37 gamma=68.08
Fractional coordinates of all 4 atoms:
Hg: 0.500 0.500 0.000
Sc: 0.750 0.250 0.500
Sr: 0.000 0.000 0.000
Sr: 0.250 0.750 0.500

---

Here is a relaxed TaAlF2 crystal from Alexandria. Energies are from GGA-PBE.

raw formation energy = -1.28 eV per atom
E = -24.472 eV/f.u.
relative energy among the computed polymorphs = 0.000 eV per formula unit
V = 18.2 Å³/atom

Unit cell a=10.951 b=10.951 c=10.951 alpha=14.63 beta=14.63 gamma=14.63
Each line ends with the local moment (μB).
Fractional coordinates of all 4 atoms:
F: 0.881 0.881 0.881  0.00
F: 0.119 0.119 0.119  0.00
Al: 0.000 0.000 0.000  0.05
Ta: 0.500 0.500 0.500  0.08

---

Here is a relaxed Tb5Tm3Th2 crystal from Alexandria. Energies are from GGA-PBE.

E = -49.276 eV/f.u.
formation energy from the elements = 213 meV per atom
V = 32.6 Å³/atom

Unit cell a=8.989 b=8.996 c=11.114 alpha=121.59 beta=121.57 gamma=72.87
Fractional coordinates of all 20 atoms:
Tb: 0.279 0.529 0.058
Tb: 0.721 0.471 0.942
Tb: 0.027 0.777 0.553
Tb: 0.530 0.280 0.561
Tb: 0.973 0.223 0.447
Tb: 0.470 0.720 0.439
Tb: 0.883 0.629 0.762
Tb: 0.117 0.371 0.238
Tb: 0.378 0.133 0.762
Tb: 0.622 0.867 0.238
Tm: 0.216 0.966 0.933
Tm: 0.784 0.034 0.067
Tm: 0.727 0.475 0.246
Tm: 0.273 0.525 0.754
Tm: 0.019 0.770 0.246
Tm: 0.981 0.230 0.754
Th: 0.762 0.012 0.754
Th: 0.238 0.988 0.246
Th: 0.491 0.742 0.754
Th: 0.509 0.258 0.246

---

Here is a relaxed PmSm5Dy2Sc crystal from Alexandria. Energies are from GGA-PBE.

E = -42.423 eV/f.u.
formation energy from the elements = 162 meV per atom
V = 32.9 Å³/atom

Unit cell a=5.619 b=10.443 c=10.474 alpha=90.00 beta=90.00 gamma=105.61
Fractional coordinates of all 18 atoms:
Pm: 0.591 0.181 0.958
Pm: 0.409 0.819 0.458
Sm: 0.375 0.750 0.019
Sm: 0.724 0.447 0.821
Sm: 0.483 0.967 0.742
Sm: 0.298 0.596 0.706
Sm: 0.983 0.966 0.516
Sm: 0.625 0.250 0.519
Sm: 0.276 0.553 0.321
Sm: 0.517 0.033 0.242
Sm: 0.702 0.404 0.206
Sm: 0.017 0.034 0.016
Dy: 0.887 0.774 0.811
Dy: 0.115 0.230 0.736
Dy: 0.113 0.226 0.311
Dy: 0.885 0.770 0.236
Sc: 0.805 0.611 0.515
Sc: 0.195 0.389 0.015

---

Here is a relaxed BaRe2F crystal from Alexandria. Energies are from GGA-PBE.

raw formation energy = 0.83 eV per atom
E = -25.390 eV/f.u.
relative energy among the computed polymorphs = 0.000 eV per formula unit
V = 28.5 Å³/atom

Unit cell a=4.457 b=4.457 c=11.890 alpha=79.20 beta=79.20 gamma=90.00
Fractional coordinates of all 8 atoms:
Re: 0.375 0.125 0.250
Re: 0.375 0.625 0.250
Re: 0.375 0.625 0.750
Re: 0.875 0.625 0.750
Ba: 0.000 0.000 0.000
Ba: 0.750 0.250 0.500
F: 0.500 0.500 0.000
F: 0.250 0.750 0.500

---

Here is a relaxed Ac3LaIr3 crystal from Alexandria. Energies are from GGA-PBE.

E = -47.208 eV/f.u.
formation energy from the elements = -482 meV per atom
relative energy among the computed polymorphs = 0.705 eV per formula unit
V = 28.3 Å³/atom

Unit cell a=6.176 b=6.176 c=6.176 alpha=106.63 beta=106.63 gamma=106.63
Fractional coordinates of all 7 atoms:
Ac: 0.555 0.555 0.124
Ac: 0.555 0.124 0.555
Ac: 0.124 0.555 0.555
La: 0.997 0.997 0.997
Ir: 0.520 0.025 0.025
Ir: 0.025 0.025 0.520
Ir: 0.025 0.520 0.025

---

Here is a relaxed Li2TmPd6 crystal from Alexandria. Energies are from GGA-PBE.

E = -43.423 eV/f.u.
formation energy from the elements = -441 meV per atom
V = 16.3 Å³/atom

Unit cell a=4.578 b=7.600 c=6.121 alpha=128.37 beta=111.97 gamma=90.00
Fractional coordinates of all 9 atoms:
Li: 0.650 0.650 0.300
Li: 0.350 0.350 0.700
Tm: 0.000 0.000 0.000
Pd: 0.174 0.488 0.349
Pd: 0.826 0.139 0.651
Pd: 0.826 0.512 0.651
Pd: 0.500 0.210 0.000
Pd: 0.174 0.861 0.349
Pd: 0.500 0.790 0.000

---

Here is a relaxed LiAcBiO crystal from Alexandria. Energies are from GGA-PBE.

raw formation energy = -1.61 eV per atom
E = -21.292 eV/f.u.
V = 22.1 Å³/atom

Unit cell a=3.614 b=3.614 c=7.242 alpha=104.45 beta=104.45 gamma=90.00
Fractional coordinates of all 4 atoms:
Li: 0.199 0.199 0.398
Ac: 0.883 0.883 0.767
Bi: 0.591 0.591 0.183
O: 0.338 0.338 0.677

---

Here is a relaxed Tm5AlZn2 crystal from Alexandria. Energies are from GGA-PBE.

E = -30.666 eV/f.u.
formation energy from the elements = -252 meV per atom
V = 24.6 Å³/atom

Unit cell a=7.884 b=7.884 c=8.445 alpha=117.82 beta=117.82 gamma=90.00
Fractional coordinates of all 16 atoms:
Tm: 0.508 0.694 0.702
Tm: 0.806 0.992 0.298
Tm: 0.000 0.000 0.000
Tm: 0.500 0.500 0.000
Tm: 0.194 0.008 0.702
Tm: 0.694 0.194 0.702
Tm: 0.008 0.508 0.702
Tm: 0.306 0.806 0.298
Tm: 0.992 0.492 0.298
Tm: 0.492 0.306 0.298
Al: 0.750 0.750 0.500
Al: 0.250 0.250 0.500
Zn: 0.134 0.366 0.000
Zn: 0.634 0.134 0.000
Zn: 0.366 0.866 0.000
Zn: 0.866 0.634 0.000

---

Here is a relaxed Tb5ThS6 crystal from Alexandria. Energies are from GGA-PBE.

raw formation energy = -1.97 eV per atom
E = -78.994 eV/f.u.
V = 21.7 Å³/atom

Unit cell a=6.837 b=6.837 c=6.851 alpha=99.64 beta=99.64 gamma=120.14
Fractional coordinates of all 12 atoms:
S: 0.424 0.084 0.254
S: 0.916 0.576 0.746
S: 0.254 0.254 0.746
S: 0.746 0.746 0.254
S: 0.084 0.424 0.254
S: 0.576 0.916 0.746
Tb: 0.834 0.166 0.500
Tb: 0.667 0.333 0.000
Tb: 0.500 0.500 0.500
Tb: 0.333 0.667 0.000
Tb: 0.166 0.834 0.500
Th: 0.000 0.000 0.000

---

Here is a relaxed Sr2CeHg10 crystal from Alexandria. Energies are from GGA-PBE.

E = -14.206 eV/f.u.
formation energy from the elements = -145 meV per atom
V = 35.0 Å³/atom

Unit cell a=7.061 b=11.340 c=11.361 alpha=90.00 beta=90.00 gamma=90.00
Each line ends with the local moment (μB).
Fractional coordinates of all 26 atoms:
Sr: 0.500 0.114 0.841  0.01
Sr: 0.500 0.886 0.159  0.01
Sr: 0.500 0.614 0.659  0.01
Sr: 0.500 0.386 0.341  0.01
Ce: 0.000 0.500 0.500  0.98
Ce: 0.000 0.000 0.000  0.98
Hg: 0.000 0.149 0.528  0.00
Hg: 0.000 0.851 0.472  0.00
Hg: 0.000 0.649 0.972  0.00
Hg: 0.000 0.351 0.028  0.00
Hg: 0.000 0.202 0.810  0.00
Hg: 0.000 0.798 0.190  0.00
Hg: 0.296 0.173 0.125  0.01
Hg: 0.296 0.827 0.875  0.01
Hg: 0.704 0.673 0.375  0.01
Hg: 0.704 0.327 0.625  0.01
Hg: 0.704 0.827 0.875  0.01
Hg: 0.704 0.173 0.125  0.01
Hg: 0.296 0.327 0.625  0.01
Hg: 0.296 0.673 0.375  0.01
Hg: 0.000 0.037 0.287  0.00
Hg: 0.000 0.963 0.713  0.00
Hg: 0.000 0.537 0.213  0.00
Hg: 0.000 0.463 0.787  0.00
Hg: 0.000 0.298 0.310  0.00
Hg: 0.000 0.702 0.690  0.00

---

Here is a relaxed PmEr2Co crystal from Alexandria. Energies are from GGA-PBE.

E = -20.501 eV/f.u.
formation energy from the elements = 120 meV per atom
relative energy among the computed polymorphs = 1.004 eV per formula unit
V = 28.9 Å³/atom

Unit cell a=3.604 b=3.604 c=10.490 alpha=80.11 beta=80.11 gamma=60.00
Fractional coordinates of all 4 atoms:
Pm: 0.000 0.000 0.000
Co: 0.500 0.500 0.500
Er: 0.116 0.116 0.653
Er: 0.884 0.884 0.347

---

Here is a relaxed Na2TmTl5 crystal from Alexandria. Energies are from GGA-PBE.

E = -20.052 eV/f.u.
formation energy from the elements = -139 meV per atom
relative energy among the computed polymorphs = 0.000 eV per formula unit
V = 27.5 Å³/atom

Unit cell a=6.620 b=6.620 c=6.620 alpha=105.84 beta=105.84 gamma=117.01
Fractional coordinates of all 8 atoms:
Na: 0.278 0.778 0.500
Na: 0.778 0.278 0.500
Tm: 0.778 0.778 0.000
Tl: 0.278 0.278 0.500
Tl: 0.278 0.778 0.000
Tl: 0.778 0.278 0.000
Tl: 0.778 0.778 0.500
Tl: 0.278 0.277 0.000